# YAl2Tc

A relaxed structure of YAl2Tc (PBE, the Alexandria database).

```
4
Lattice="0.000 3.287 3.287 3.287 0.000 3.287 3.287 3.287 0.000" Properties=species:S:1:pos:R:3 pbc="T T T"
Y 0.000 0.000 0.000
Al 1.643 1.643 1.643
Al 4.930 4.930 4.930
Tc 3.287 3.287 3.287
```

Results
Energy above the lowest structure with this stoichiometry: 124.0 meV/atom
Volume: 17.75 Å³/atom
Magnetic moment: 0.0 Bohr magnetons per cell
Formation energy from the elements: -0.217 eV/atom
Calculated total energy: -6.296 eV/atom